Record 1
DFT (GGA-PBE) results for a relaxed PuTlClO3 crystal.

Lattice parameters (Å, degrees): 9.1970 9.1970 5.6339 102.13 102.13 137.05
With the nearest neighbours (Å) after each atom.
Fractional positions:
Pu  0.1914  0.8086  0.7500  3 O 1.88-1.95
Pu  0.8086  0.1914  0.2500  3 O 1.88-1.95
Tl  0.4194  0.5806  0.2500  2 O 2.72
Tl  0.5806  0.4194  0.7500  2 O 2.72
Cl  0.1542  0.8458  0.2500  2 Pu 2.89, 4 O 3.08-3.21, 2 Tl 3.16
Cl  0.8458  0.1542  0.7500  2 Pu 2.89, 4 O 3.08-3.21, 2 Tl 3.16
O  0.0817  0.9183  0.7500  1 Pu 1.88
O  0.1557  0.5449  0.4508  1 Pu 1.95
O  0.4551  0.8443  0.0492  1 Pu 1.95
O  0.5449  0.1557  0.9508  1 Pu 1.95
O  0.8443  0.4551  0.5492  1 Pu 1.95
O  0.9183  0.0817  0.2500  1 Pu 1.88

## Properties
* E: -88.1 eV for the cell shown
* formation energy (no corrections): -1.775 eV per atom
* total magnetic moment: 4.00 μB per cell
* SG: C2/c

***

Record 2
DFT (GGA-PBE) results for a relaxed PuTl2Cl3O crystal.

Lattice parameters (Å, degrees): 9.3713 9.3713 9.3713 154.05 145.37 43.79
With the nearest neighbours (Å) after each atom.
Fractional positions:
Pu  0.0000  0.0000  0.0000  2 O 2.10
Tl  0.3465  0.3465  0.0000  7 Cl 3.17-3.50
Tl  0.6535  0.6535  0.0000  7 Cl 3.17-3.50
Cl  0.1640  0.1640  0.0000  1 Pu 2.85, 1 Tl 3.17
Cl  0.5000  0.0000  0.5000  2 Pu 2.79
Cl  0.8360  0.8360  0.0000  1 Pu 2.85, 1 Tl 3.17
O  0.0000  0.5000  0.5000  2 Pu 2.10

## Properties
* E: -40.6 eV for the cell shown
* formation energy (no corrections): -1.574 eV per atom
* total magnetic moment: 4.87 μB per cell
* SG: Immm

***

Record 3
DFT (GGA-PBE) results for a relaxed PuTl2Cl4O2 crystal.

Lattice parameters (Å, degrees): 7.0548 7.0548 5.5627 91.17 91.17 64.93
With the nearest neighbours (Å) after each atom.
Fractional positions:
Pu  0.0000  0.0000  0.0000  2 O 1.77
Tl  0.3376  0.3376  0.7311  6 Cl 3.30-3.47
Tl  0.6624  0.6624  0.2689  6 Cl 3.30-3.47
Cl  0.1407  0.6284  0.2157  1 Pu 2.68
Cl  0.3716  0.8593  0.7843  1 Pu 2.68
Cl  0.6284  0.1407  0.2157  1 Pu 2.68
Cl  0.8593  0.3716  0.7843  1 Pu 2.68
O  0.1048  0.1048  0.2321  1 Pu 1.77
O  0.8952  0.8952  0.7679  1 Pu 1.77

## Properties
* E: -50.5 eV for the cell shown
* formation energy (no corrections): -1.571 eV per atom
* total magnetic moment: 2.00 μB per cell
* SG: C2/m

***

Record 4
DFT (GGA-PBE) results for a relaxed TmPuClO4 crystal.

Lattice parameters (Å, degrees): 6.8017 6.8017 6.5805 106.90 106.90 60.25
With the nearest neighbours (Å) after each atom.
Fractional positions:
Tm  0.2154  0.2154  0.0781  5 O 2.20-2.38
Tm  0.7846  0.7846  0.9219  5 O 2.20-2.38
Pu  0.3727  0.3727  0.7645  4 O 1.85-2.04
Pu  0.6273  0.6273  0.2355  4 O 1.85-2.04
Cl  0.0330  0.0330  0.2529  2 Tm 2.75-3.00
Cl  0.9670  0.9670  0.7471  2 Tm 2.75-3.00
O  0.0557  0.4469  0.8064  1 Pu 2.04, 1 Tm 2.20
O  0.3345  0.3345  0.4674  1 Pu 1.85
O  0.4184  0.4184  0.0855  1 Pu 2.00
O  0.4469  0.0557  0.8064  1 Pu 2.04, 1 Tm 2.20
O  0.5531  0.9443  0.1936  1 Pu 2.04, 1 Tm 2.20
O  0.5816  0.5816  0.9145  1 Pu 2.00
O  0.6655  0.6655  0.5326  1 Pu 1.85
O  0.9443  0.5531  0.1936  1 Pu 2.04, 1 Tm 2.20

## Properties
* E: -116.3 eV for the cell shown
* formation energy (no corrections): -2.522 eV per atom
* total magnetic moment: 4.00 μB per cell
* SG: C2/m

***

Record 5
DFT (GGA-PBE) results for a relaxed Rb6Cl3O crystal.

Lattice parameters (Å, degrees): 9.1890 9.1890 9.1890 90.17 90.17 90.17
With the nearest neighbours (Å) after each atom.
Fractional positions:
Rb  0.0556  0.9332  0.7146  1 O 2.74
Rb  0.0668  0.2854  0.9444  1 O 2.74
Rb  0.2146  0.4332  0.5556  1 O 2.74
Rb  0.2854  0.9444  0.0668  1 O 2.74
Rb  0.4332  0.5556  0.2146  1 O 2.74
Rb  0.4444  0.7854  0.5668  1 O 2.74
Rb  0.5556  0.2146  0.4332  1 O 2.74
Rb  0.5668  0.4444  0.7854  1 O 2.74
Rb  0.7146  0.0556  0.9332  1 O 2.74
Rb  0.7854  0.5668  0.4444  1 O 2.74
Rb  0.9332  0.7146  0.0556  1 O 2.74
Rb  0.9444  0.0668  0.2854  1 O 2.74
Cl  0.1275  0.7500  0.3725  8 Rb 3.42-3.64
Cl  0.2500  0.6275  0.8725  8 Rb 3.42-3.64
Cl  0.3725  0.1275  0.7500  8 Rb 3.42-3.64
Cl  0.6275  0.8725  0.2500  8 Rb 3.42-3.64
Cl  0.7500  0.3725  0.1275  8 Rb 3.42-3.64
Cl  0.8725  0.2500  0.6275  8 Rb 3.42-3.64
O  0.0000  0.0000  0.0000  6 Rb 2.74
O  0.5000  0.5000  0.5000  6 Rb 2.74

## Properties
* E: -61.0 eV for the cell shown
* formation energy (no corrections): -1.420 eV per atom
* total magnetic moment: 1.48 μB per cell
* SG: R-3c

***

Record 6
DFT (GGA-PBE) results for a relaxed Rb6Cl3O2 crystal.

Lattice parameters (Å, degrees): 14.0031 14.0031 14.0031 158.09 158.09 31.18
With the nearest neighbours (Å) after each atom.
Fractional positions:
Rb  0.0806  0.5806  0.5000  2 O 2.71
Rb  0.1974  0.1974  0.0000  1 O 2.66
Rb  0.4194  0.9194  0.5000  2 O 2.71
Rb  0.5806  0.0806  0.5000  2 O 2.71
Rb  0.8026  0.8026  0.0000  1 O 2.66
Rb  0.9194  0.4194  0.5000  2 O 2.71
Cl  0.3214  0.3214  0.0000  1 Rb 3.35
Cl  0.5000  0.5000  0.0000  8 Rb 3.44
Cl  0.6786  0.6786  0.0000  1 Rb 3.35
O  0.0989  0.0989  0.0000  5 Rb 2.66-2.71
O  0.9011  0.9011  0.0000  5 Rb 2.66-2.71

## Properties
* E: -36.9 eV for the cell shown
* formation energy (no corrections): -1.424 eV per atom
* total magnetic moment: 1.00 μB per cell
* SG: I4/mmm

***

Record 7
DFT (GGA-PBE) results for a relaxed Rb4Cl2O crystal.

Lattice parameters (Å, degrees): 8.1458 13.2686 4.5209 90.00 90.00 90.00
With the nearest neighbours (Å) after each atom.
Fractional positions:
Rb  0.1279  0.1865  0.0000  1 O 2.69
Rb  0.2104  0.9528  0.5000  2 O 2.90
Rb  0.2896  0.4528  0.5000  2 O 2.90
Rb  0.3721  0.6865  0.0000  1 O 2.69
Rb  0.6279  0.3135  0.0000  1 O 2.69
Rb  0.7104  0.5472  0.5000  2 O 2.90
Rb  0.7896  0.0472  0.5000  2 O 2.90
Rb  0.8721  0.8135  0.0000  1 O 2.69
Cl  0.0763  0.6806  0.5000  6 Rb 3.30-3.49
Cl  0.4237  0.1806  0.5000  6 Rb 3.30-3.49
Cl  0.5763  0.8194  0.5000  6 Rb 3.30-3.49
Cl  0.9237  0.3194  0.5000  6 Rb 3.30-3.49
O  0.0000  0.0000  0.0000  6 Rb 2.69-2.90
O  0.5000  0.5000  0.0000  6 Rb 2.69-2.90

## Properties
* E: -46.3 eV for the cell shown
* formation energy (no corrections): -1.521 eV per atom
* total magnetic moment: 0.23 μB per cell
* SG: Pbam

***

Record 8
DFT (GGA-PBE) results for a relaxed Rb6ClO2 crystal.

Lattice parameters (Å, degrees): 8.4336 8.4336 9.9663 102.41 102.41 38.36
With the nearest neighbours (Å) after each atom.
Fractional positions:
Rb  0.0894  0.0894  0.2168  1 O 2.55
Rb  0.2497  0.2497  0.8974  3 O 2.79-2.87
Rb  0.3734  0.3734  0.3740  1 O 2.55
Rb  0.6266  0.6266  0.6260  1 O 2.55
Rb  0.7503  0.7503  0.1026  3 O 2.79-2.87
Rb  0.9106  0.9106  0.7832  1 O 2.55
Cl  0.0000  0.0000  0.5000  6 Rb 3.44-3.49
O  0.2411  0.2411  0.1740  3 Rb 2.55-2.79
O  0.7589  0.7589  0.8260  3 Rb 2.55-2.79

## Properties
* polymorph energy (0 for the lowest one): 0.25 eV per formula unit
* E: -26.6 eV for the cell shown
* formation energy (no corrections): -1.001 eV per atom
* total magnetic moment: 0.00 μB per cell
* SG: C2/m

***

Record 9
DFT (GGA-PBE) results for a relaxed Rb8Cl2O3 crystal.

Lattice parameters (Å, degrees): 9.0256 9.0256 7.3067 106.98 106.98 57.03
With the nearest neighbours (Å) after each atom.
Fractional positions:
Rb  0.0932  0.0932  0.4023  3 O 2.82-2.90
Rb  0.1145  0.6838  0.1148  2 O 2.76
Rb  0.3162  0.8855  0.8852  2 O 2.76
Rb  0.3935  0.3935  0.5322  2 O 2.73
Rb  0.6065  0.6065  0.4678  2 O 2.73
Rb  0.6838  0.1145  0.1148  2 O 2.76
Rb  0.8855  0.3162  0.8852  2 O 2.76
Rb  0.9068  0.9068  0.5977  3 O 2.82-2.90
Cl  0.2757  0.2757  0.8413  6 Rb 3.35-3.53
Cl  0.7243  0.7243  0.1587  6 Rb 3.35-3.53
O  0.0000  0.0000  0.0000  6 Rb 2.76-2.82
O  0.2594  0.7406  0.5000  6 Rb 2.73-2.90
O  0.7406  0.2594  0.5000  6 Rb 2.73-2.90

## Properties
* E: -42.5 eV for the cell shown
* formation energy (no corrections): -1.246 eV per atom
* total magnetic moment: 0.28 μB per cell
* SG: C2/m

***

Record 10
DFT (GGA-PBE) results for a relaxed Rb3Cl2O2 crystal.

Lattice parameters (Å, degrees): 9.9826 9.9826 9.9826 154.31 148.89 40.77
With the nearest neighbours (Å) after each atom.
Fractional positions:
Rb  0.0000  0.0000  0.0000  4 O 2.76
Rb  0.3439  0.3439  0.0000  5 Cl 3.26-3.49, 2 O 3.30
Rb  0.6561  0.6561  0.0000  5 Cl 3.26-3.49, 2 O 3.30
Cl  0.1696  0.1696  0.0000  6 Rb 3.17-3.49
Cl  0.8304  0.8304  0.0000  6 Rb 3.17-3.49
O  0.5000  0.1531  0.6531  1 O 1.36
O  0.5000  0.8469  0.3469  1 O 1.36

## Properties
* E: -26.4 eV for the cell shown
* formation energy (no corrections): -1.414 eV per atom
* total magnetic moment: 1.00 μB per cell
* SG: Immm

***

Record 11
DFT (GGA-PBE) results for a relaxed Rb3ClO crystal.

Lattice parameters (Å, degrees): 5.5690 8.0927 8.1487 90.00 109.30 90.00
With the nearest neighbours (Å) after each atom.
Fractional positions:
Rb  0.0153  0.2500  0.0349  2 O 2.78-2.79
Rb  0.3780  0.0192  0.7491  2 O 2.76-2.86
Rb  0.3780  0.4808  0.7491  2 O 2.76-2.86
Rb  0.6220  0.5192  0.2509  2 O 2.76-2.86
Rb  0.6220  0.9808  0.2509  2 O 2.76-2.86
Rb  0.9847  0.7500  0.9651  2 O 2.78-2.79
Cl  0.1882  0.7500  0.3876  7 Rb 3.25-3.53
Cl  0.8118  0.2500  0.6124  7 Rb 3.25-3.53
O  0.4874  0.7500  0.9691  6 Rb 2.76-2.86
O  0.5126  0.2500  0.0309  6 Rb 2.76-2.86

## Properties
* E: -32.4 eV for the cell shown
* formation energy (no corrections): -1.296 eV per atom
* total magnetic moment: 0.00 μB per cell
* SG: P2_1/m

***

Record 12
DFT (GGA-PBE) results for a relaxed Rb4Cl2O crystal.

Lattice parameters (Å, degrees): 8.3948 8.3948 8.3948 112.22 112.22 104.10
With the nearest neighbours (Å) after each atom.
Fractional positions:
Rb  0.0816  0.2393  0.7172  1 O 2.74
Rb  0.1144  0.7721  0.7828  1 O 2.74
Rb  0.2279  0.0107  0.3423  1 O 2.74
Rb  0.5221  0.3644  0.2828  1 O 2.74
Rb  0.6356  0.9184  0.1577  1 O 2.74
Rb  0.6684  0.8856  0.6577  1 O 2.74
Rb  0.7607  0.4779  0.8423  1 O 2.74
Rb  0.9893  0.3316  0.2172  1 O 2.74
Cl  0.2647  0.6250  0.1397  4 Rb 3.19-3.38
Cl  0.3750  0.5147  0.6397  4 Rb 3.19-3.38
Cl  0.4853  0.1250  0.8603  4 Rb 3.19-3.38
Cl  0.8750  0.7353  0.3603  4 Rb 3.19-3.38
O  0.0000  0.0000  0.0000  4 Rb 2.74
O  0.7500  0.2500  0.5000  4 Rb 2.74

## Properties
* E: -45.6 eV for the cell shown
* formation energy (no corrections): -1.466 eV per atom
* total magnetic moment: 0.25 μB per cell
* SG: I-42d

***

> formation energy (no corrections) of number 5 (Rb6Cl3O)?

-1.420 eV per atom

***

> Which formula does entry 2 have?

PuTl2Cl3O

***

> What is the total magnetic moment in the second record?

4.87 μB per cell

***

> Which of these has the highest E?

Rb3Cl2O2